Entry i
The following is a DFT calculation (PBE) of crystalline GdHf2Nb at its relaxed geometry.

POSCAR file:
```
GdHf2Nb
1.0
3.5462 0.0000 0.0000
0.0000 3.5462 0.0000
0.0000 0.0000 7.5042
Nb Hf Gd
1 2 1
Cartesian
1.7731 1.7731 0.0000 Nb
0.0000 0.0000 1.5118 Hf
0.0000 0.0000 5.9924 Hf
1.7731 1.7731 3.7521 Gd
```

Summary:
**Total magnetization**: 7.7 μB/cell
**Symmetry**: P4/mmm

***

Entry ii
The following is a DFT calculation (PBE) of crystalline GdHf2Nb at its relaxed geometry.

POSCAR file:
```
GdHf2Nb
1.0
-0.0769 2.2937 2.2243
-0.1715 -0.7801 3.0946
10.4056 0.3341 2.3113
Hf Gd Nb
2 1 1
Cartesian
7.8767 1.3815 5.7359 Hf
2.2805 0.4661 1.8943 Hf
5.0786 0.9238 3.8151 Gd
0.0000 0.0000 0.0000 Nb
```

Summary:
**Total magnetization**: 7.3 μB/cell
**Symmetry**: R-3m

***

The structure with the most favorable energy is entry i; the runner-up is 131 meV per atom above it.

***

Entry i
The following is a DFT calculation (PBE) of crystalline NdGdHf at its relaxed geometry.

POSCAR file:
```
NdGdHf
1.0
3.4221 0.0000 0.0000
-1.7110 2.9636 0.0000
0.0000 0.0000 8.6257
Hf Nd Gd
1 1 1
Cartesian
1.7110 0.9879 2.8975 Hf
0.0000 0.0000 0.2077 Nd
0.0000 1.9757 5.5205 Gd
```

Summary:
**Total magnetization**: 7.4 μB/cell
**Symmetry**: P3m1

***

Entry ii
The following is a DFT calculation (PBE) of crystalline NdGdHf at its relaxed geometry.

POSCAR file:
```
NdGdHf
1.0
-0.4129 -1.8779 2.7769
-2.1470 -2.0005 -1.6722
7.1378 -2.5424 -2.7120
Hf Nd Gd
1 1 1
Cartesian
0.6392 -3.4075 -0.1552 Hf
3.7645 -2.8801 -1.3879 Nd
0.1741 -0.1332 -0.0642 Gd
```

Summary:
**Total magnetization**: 7.3 μB/cell
**Symmetry**: I4mm

***

The structure with the most favorable energy is entry ii; the runner-up is 18 meV per atom above it.